(1)
Material: La8As6S
Method: DFT, PBE
State: relaxed

Lattice parameters (Å, degrees): 4.6198 10.7662 10.7662 120.00 90.00 90.00
Fractional positions:
La1 0.2615 0.0313 0.7014
La2 0.2615 0.6701 0.9687
La3 0.7458 0.3333 0.6667
La4 0.7385 0.7014 0.6701
La5 0.7385 0.9687 0.2986
La6 0.7385 0.3299 0.0313
La7 0.2542 0.6667 0.3333
La8 0.2615 0.2986 0.3299
As1 0.7580 0.8719 0.5245
As2 0.2420 0.1281 0.4755
As3 0.7580 0.4755 0.3474
As4 0.7580 0.6526 0.1281
As5 0.2420 0.3474 0.8719
As6 0.2420 0.5245 0.6526
S1 0.5000 0.0000 0.0000

Values from the calculation:
**Energy**: -0.4411 Ry per atom


(2)
Material: Co2HgHS
Method: DFT, PBE
State: relaxed

Lattice parameters (Å, degrees): 3.8070 4.3789 3.8070 90.00 90.00 90.00
Last column: magnetic moment on the atom in μB.
Fractional positions:
Co1 0.5000 0.0000 0.0000  1.46
Co2 0.0000 0.0000 0.5000  1.70
H1 0.0000 0.0000 0.0000  -0.02
Hg1 0.5000 0.5000 0.5000  -0.04
S1 0.0000 0.5000 0.0000  0.07

Values from the calculation:
**Energy**: -0.2761 Ry per atom


(3)
Material: SmHo14Zr
Method: DFT, PBE
State: relaxed

Lattice parameters (Å, degrees): 7.0190 7.0190 9.8861 90.00 90.00 90.00
Fractional positions:
Zr1 0.8750 0.1250 0.0000
Ho1 0.1198 0.3698 0.7544
Ho2 0.6302 0.3698 0.2456
Ho3 0.6302 0.8802 0.2456
Ho4 0.8750 0.1250 0.5000
Ho5 0.8749 0.6249 0.0000
Ho6 0.8751 0.6251 0.5000
Ho7 0.3751 0.6249 0.5000
Ho8 0.6302 0.8802 0.7544
Ho9 0.1198 0.3698 0.2456
Ho10 0.6302 0.3698 0.7544
Ho11 0.3749 0.1249 0.5000
Ho12 0.1198 0.8802 0.2455
Ho13 0.3751 0.1251 0.0000
Ho14 0.1198 0.8802 0.7545
Sm1 0.3749 0.6251 0.0000

Values from the calculation:
**Calculated formation energy**: 0.036 eV/atom


(4)
Material: Ba3Tb3TmSe8
Method: DFT, PBE
State: relaxed

Lattice parameters (Å, degrees): 8.4379 8.4353 8.9732 118.01 90.00 120.01
Fractional positions:
Se1 0.7648 0.5296 0.2904
Se2 0.2352 0.4704 0.7096
Se3 0.7391 0.9744 0.7097
Se4 0.7647 0.0256 0.2903
Se5 0.2619 0.5239 0.2858
Se6 0.2609 0.0256 0.2903
Se7 0.2353 0.9744 0.7097
Se8 0.7381 0.4761 0.7142
Tb1 0.5000 0.5000 0.5000
Tb2 0.5000 0.0000 0.5000
Tb3 0.0000 0.5000 0.5000
Tm1 0.0000 0.0000 0.5000
Ba1 0.5000 0.5000 0.0000
Ba2 0.0000 0.0000 0.0000
Ba3 0.0000 0.5000 0.0000

Values from the calculation:
**Energy**: -0.3964 Ry per atom


(5)
Material: ZrVMo2
Method: DFT, PBE
State: relaxed

Lattice parameters (Å, degrees): 4.5379 4.5379 4.5379 60.00 60.00 60.00
Fractional positions:
V1 0.0000 0.0000 0.0000
Mo1 0.7500 0.7500 0.7500
Mo2 0.2500 0.2500 0.2500
Zr1 0.5000 0.5000 0.5000

Values from the calculation:
**Offset from the most stable computed form**: 2.5 kJ per mole of atoms
**Calculated formation energy**: 0.050 eV/atom


(6)
Material: CaHf2Ni
Method: DFT, PBE
State: relaxed

Lattice parameters (Å, degrees): 7.8594 7.8594 6.2921 51.35 51.35 90.00
Fractional positions:
Ni1 0.7500 0.2500 0.5000
Ni2 0.0000 0.0000 0.0000
Hf1 0.8750 0.9495 0.7500
Hf2 0.3750 0.3005 0.7500
Hf3 0.0505 0.6250 0.2500
Hf4 0.6995 0.1250 0.2500
Ca1 0.5000 0.5000 0.0000
Ca2 0.2500 0.7500 0.5000

Values from the calculation:
**Offset from the most stable computed form**: 0.0 kJ per mole of atoms
**Calculated formation energy**: 0.240 eV/atom